(1)
! AsOs2Pb | Alexandria via LeMat-Bulk | PBE | optimized geometry; values from VASP
&SYSTEM
  ibrav = 0, nat = 4, ntyp = 3
/
ATOMIC_SPECIES
As 74.92 As.upf
Os 190.23 Os.upf
Pb 207.20 Pb.upf
ATOMIC_POSITIONS angstrom
As 0.0000 0.0000 0.0000
Os 3.7631 0.0000 2.0262
Os 6.1469 0.0000 1.1171
Pb 1.3477 0.0000 3.7698
CELL_PARAMETERS angstrom
4.3214 -1.4938 0.0000
4.3214 1.4938 0.0000
-0.8729 0.0000 6.6566
! ρ   12.8 g/cm3
! Relative energy among the computed polymorphs   140 meV per atom

(2)
! NiMoOs2 | Alexandria via LeMat-Bulk | PBE | optimized geometry; values from VASP
&SYSTEM
  ibrav = 0, nat = 4, ntyp = 3
/
ATOMIC_SPECIES
Ni 58.69 Ni.upf
Mo 95.94 Mo.upf
Os 190.23 Os.upf
ATOMIC_POSITIONS angstrom
Ni 0.0000 0.0000 0.0000
Mo 3.0446 3.0446 3.0446
Os 1.5223 1.5223 1.5223
Os 4.5669 4.5669 4.5669
CELL_PARAMETERS angstrom
0.0000 3.0446 3.0446
3.0446 0.0000 3.0446
3.0446 3.0446 0.0000
! ρ   15.7 g/cm3
! Relative energy among the computed polymorphs   212 meV per atom

(3)
! Ca2CuBr | Alexandria via LeMat-Bulk | PBE | optimized geometry; values from VASP
&SYSTEM
  ibrav = 0, nat = 4, ntyp = 3
/
ATOMIC_SPECIES
Ca 40.08 Ca.upf
Cu 63.55 Cu.upf
Br 79.90 Br.upf
ATOMIC_POSITIONS angstrom
Ca 1.8765 1.8765 1.8765
Ca 5.6296 5.6296 5.6296
Cu 0.0000 0.0000 0.0000
Br 3.7531 3.7531 3.7531
CELL_PARAMETERS angstrom
0.0000 3.7531 3.7531
3.7531 0.0000 3.7531
3.7531 3.7531 0.0000
! Raw formation energy   -432 meV per atom
! ρ   3.5 g/cm3
! Relative energy among the computed polymorphs   290 meV per atom

(4)
! K2UCuO6 | Alexandria via LeMat-Bulk | PBE | optimized geometry; values from VASP
&SYSTEM
  ibrav = 0, nat = 10, ntyp = 4
/
ATOMIC_SPECIES
K 39.10 K.upf
U 238.03 U.upf
Cu 63.55 Cu.upf
O 16.00 O.upf
ATOMIC_POSITIONS angstrom
K 3.9617 1.9871 0.0000
K 3.9617 -1.9871 0.0000
U 1.9812 0.0000 2.4246
Cu -1.9805 0.0000 2.4246
O -0.1415 0.0000 2.4053
O 1.9812 2.1228 2.4246
O 1.9953 0.0000 0.5004
O 1.9671 0.0000 4.3489
O 1.9812 -2.1228 2.4246
O 4.1038 0.0000 2.4440
CELL_PARAMETERS angstrom
3.9617 -3.9620 0.0000
3.9617 3.9620 0.0000
-3.9611 0.0000 4.8493
! Raw formation energy   -1887 meV per atom
! ρ   5.2 g/cm3

Number 1: volume 85.9 Å³/cell, total magnetization 0.000 μB/cell. Number 2: volume 56.4 Å³/cell, total magnetization 0.000 μB/cell. Number 3: volume 105.7 Å³/cell, total magnetization 0.000 μB/cell. Number 4: volume 152.2 Å³/cell, total magnetization 0.950 μB/cell.